No. 1
{
  "formula": "PuO2F3",
  "functional": "GGA-PBE",
  "state": "relaxed",
  "total_magnetization_mub_per_atom": 0.167,
  "final_energy_ev_per_atom": -7.46,
  "lattice_angstrom": [[4.528, -3.515, 0.000], [4.528, 3.515, 0.000], [-1.514, 0.000, 6.737]],
  "species": ["Pu", "Pu", "O", "O", "O", "O", "F", "F", "F", "F", "F", "F"],
  "fractional_positions": [[0.130, 0.870, 0.750], [0.870, 0.130, 0.250], [0.078, 0.320, 0.309], [0.320, 0.078, 0.809], [0.680, 0.922, 0.191], [0.922, 0.680, 0.691], [0.158, 0.832, 0.063], [0.168, 0.842, 0.437], [0.419, 0.581, 0.750], [0.581, 0.419, 0.250], [0.832, 0.158, 0.563], [0.842, 0.168, 0.937]]
}

No. 2
{
  "formula": "Dy3Sc2In2",
  "functional": "GGA-PBE",
  "state": "relaxed",
  "ef_ev_per_atom": 0.00,
  "total_magnetization_mub_per_atom": 0.067,
  "e_above_lowest_polymorph_mev_per_atom": 13,
  "lattice_angstrom": [[5.160, 0.000, 0.000], [0.000, 3.252, 0.000], [-2.576, 0.000, 11.000]],
  "species": ["Dy", "Dy", "Dy", "Sc", "Sc", "In", "In"],
  "fractional_positions": [[0.000, 0.000, 0.000], [0.288, 0.000, 0.577], [0.712, 0.000, 0.423], [0.137, 0.000, 0.274], [0.863, 0.000, 0.726], [0.423, 0.500, 0.847], [0.577, 0.500, 0.153]]
}